BaNa2Ni after structural relaxation, computed with PBE-GGA.

Results
The value obtained for the formation energy is 0.433 eV per atom. For the relative energy among the computed polymorphs, the calculation gives 0.518 eV/f.u. The symmetry is Fm-3m, No. 225. Its total magnetic moment is 0.0 μB/f.u.

a b c (Å): 5.4970 5.4970 5.4970
angles (deg): 60.00 60.00 60.00
Last column: nearest neighbours and their distance in Å.
Positions (direct):
Ni1 0.0000 0.0000 0.0000  8 Na 3.37
Ba1 0.5000 0.5000 0.5000  8 Na 3.37
Na1 0.2500 0.2500 0.2500  4 Ba 3.37, 4 Ni 3.37
Na2 0.7500 0.7500 0.7500  4 Ba 3.37, 4 Ni 3.37